# CdCuMo4N2

A geometry-optimized CdCuMo4N2 structure (PBE-GGA, OQMD).

Unit cell a=2.8701 b=2.8701 c=14.8619 alpha=90.00 beta=90.00 gamma=120.00
Last column: nearest neighbours and their distance in Å.
Fractional positions:
Cu 0.6667 0.3333 0.5000  6 Mo 2.74, 6 Cu 2.87
Mo 0.6667 0.3333 0.1684  3 N 2.14
Mo 0.6667 0.3333 0.8316  3 N 2.14
Mo 0.0000 0.0000 0.3528  3 N 2.16
Mo 0.0000 0.0000 0.6472  3 N 2.16
Cd 0.0000 0.0000 0.0000  6 Cd 2.87, 6 Mo 3.00
N 0.3333 0.6667 0.7400  6 Mo 2.14-2.16
N 0.3333 0.6667 0.2600  6 Mo 2.14-2.16

Calculated total energy: -8.013 eV per atom
Theoretical density: 9.2 g/cm³

# CdTcO3

A geometry-optimized CdTcO3 structure (PBE-GGA, OQMD).

Unit cell a=5.6707 b=5.5718 c=7.8330 alpha=90.00 beta=90.00 gamma=90.00
Last column: nearest neighbours and their distance in Å.
Fractional positions:
O 0.6492 0.3545 0.0808  1 Tc 1.88
O 0.8172 0.6539 0.7500  2 Tc 1.97-2.03
O 0.1828 0.3461 0.2500  2 Tc 1.97-2.03
O 0.8508 0.8545 0.4192  1 Tc 1.88
O 0.1492 0.1455 0.5808  1 Tc 1.88
O 0.6828 0.1539 0.7500  2 Tc 1.97-2.03
O 0.8508 0.8545 0.0808  1 Tc 1.88
O 0.6492 0.3545 0.4192  1 Tc 1.88
O 0.1492 0.1455 0.9192  1 Tc 1.88
O 0.3508 0.6455 0.5808  1 Tc 1.88
O 0.3172 0.8461 0.2500  2 Tc 1.97-2.03
O 0.3508 0.6455 0.9192  1 Tc 1.88
Tc 0.9830 0.9769 0.7500  4 O 1.88-2.03
Tc 0.0170 0.0231 0.2500  4 O 1.88-2.03
Tc 0.5170 0.4769 0.7500  4 O 1.88-2.03
Tc 0.4830 0.5231 0.2500  4 O 1.88-2.03
Cd 0.5000 0.0000 0.0000  6 O 2.24-2.38
Cd 0.0000 0.5000 0.5000  6 O 2.24-2.38
Cd 0.0000 0.5000 0.0000  6 O 2.24-2.38
Cd 0.5000 0.0000 0.5000  6 O 2.24-2.38

Calculated total energy: -6.087 eV per atom
Theoretical density: 6.9 g/cm³

# SmTcMo

A geometry-optimized SmTcMo structure (PBE-GGA, OQMD).

Unit cell a=4.5260 b=4.5260 c=4.5260 alpha=60.00 beta=60.00 gamma=60.00
Last column: nearest neighbours and their distance in Å.
Fractional positions:
Sm 0.0000 0.0000 0.0000  4 Tc 2.77, 4 Mo 2.77
Tc 0.7500 0.7500 0.7500  4 Sm 2.77
Mo 0.2500 0.2500 0.2500  4 Sm 2.77

Energy of formation: 1.700 eV per atom
Theoretical density: 8.7 g/cm³

# ErTlTe

A geometry-optimized ErTlTe structure (PBE-GGA, OQMD).

Unit cell a=5.1675 b=5.1675 c=5.1675 alpha=60.00 beta=60.00 gamma=60.00
Last column: nearest neighbours and their distance in Å.
Fractional positions:
Tl 0.7500 0.7500 0.7500  4 Te 3.16
Te 0.0000 0.0000 0.0000  4 Er 3.16, 4 Tl 3.16
Er 0.2500 0.2500 0.2500  4 Te 3.16

Calculated total energy: -3.656 eV per atom
Theoretical density: 8.5 g/cm³

# Ho2In5Ga

A geometry-optimized Ho2In5Ga structure (PBE-GGA, OQMD).

Unit cell a=5.1143 b=6.6481 c=6.6481 alpha=58.95 beta=90.00 gamma=90.00
Last column: nearest neighbours and their distance in Å.
Fractional positions:
In 0.0000 0.1665 0.6781  6 In 3.14-3.35, 2 Ga 3.19-3.46, 4 Ho 3.25-3.33
In 0.0000 0.6781 0.1665  6 In 3.14-3.35, 2 Ga 3.19-3.46, 4 Ho 3.25-3.33
In 0.5000 0.3203 0.8403  6 In 3.14-3.44, 2 Ga 3.14, 4 Ho 3.24-3.40
In 0.5000 0.8403 0.3203  6 In 3.14-3.44, 2 Ga 3.14, 4 Ho 3.24-3.40
In 0.5000 0.8382 0.8382  8 In 3.17-3.44, 4 Ho 3.22-3.27
Ho 0.5000 0.3261 0.3261  2 Ga 3.19, 10 In 3.25-3.40
Ho 0.0000 0.6695 0.6695  10 In 3.22-3.33, 2 Ga 3.27
Ga 0.0000 0.1610 0.1610  8 In 3.14-3.46, 4 Ho 3.19-3.27

Calculated total energy: -3.574 eV per atom
Theoretical density: 8.3 g/cm³

# ReB2

A geometry-optimized ReB2 structure (PBE-GGA, OQMD).

Unit cell a=3.4621 b=3.4621 c=3.2997 alpha=90.00 beta=90.00 gamma=120.00
Last column: nearest neighbours and their distance in Å.
Fractional positions:
B 0.6667 0.3333 0.7505  2 B 1.65
B 0.6667 0.3333 0.2495  2 B 1.65
Re 0.0000 0.0000 0.0000  6 B 2.16

Calculated total energy: -8.088 eV per atom
Theoretical density: 10.1 g/cm³

# ZnRePb2O6

A geometry-optimized ZnRePb2O6 structure (PBE-GGA, OQMD).

Unit cell a=5.6162 b=5.6162 c=5.7266 alpha=120.30 beta=120.30 gamma=60.29
Last column: nearest neighbours and their distance in Å.
Fractional positions:
Pb 0.2511 0.2511 0.7621  7 O 2.55-2.86
Pb 0.7489 0.7489 0.2379  7 O 2.55-2.86
Zn 0.5000 0.5000 0.5000  6 O 2.10-2.12
Re 0.0000 0.0000 0.0000  6 O 1.92-1.95
O 0.2384 0.2384 0.3046  1 Re 1.92, 1 Zn 2.10
O 0.7958 0.2803 0.8014  1 Re 1.95, 1 Zn 2.12
O 0.2042 0.7197 0.1986  1 Re 1.95, 1 Zn 2.12
O 0.2803 0.7958 0.8014  1 Re 1.95, 1 Zn 2.12
O 0.7197 0.2042 0.1986  1 Re 1.95, 1 Zn 2.12
O 0.7616 0.7616 0.6954  1 Re 1.92, 1 Zn 2.10

Calculated total energy: -6.384 eV per atom
Theoretical density: 9.9 g/cm³

# YMgCdHg

A geometry-optimized YMgCdHg structure (PBE-GGA, OQMD).

Unit cell a=5.0780 b=5.0780 c=5.0780 alpha=60.00 beta=60.00 gamma=60.00
Last column: nearest neighbours and their distance in Å.
Fractional positions:
Mg 0.2500 0.2500 0.2500  4 Cd 3.11, 4 Hg 3.11
Hg 0.0000 0.0000 0.0000  4 Y 3.11, 4 Mg 3.11
Cd 0.5000 0.5000 0.5000  4 Y 3.11, 4 Mg 3.11
Y 0.7500 0.7500 0.7500  4 Cd 3.11, 4 Hg 3.11

Calculated total energy: -2.698 eV per atom
Theoretical density: 7.6 g/cm³

# NbBiPO

A geometry-optimized NbBiPO structure (PBE-GGA, OQMD).

Unit cell a=4.3275 b=4.3275 c=9.4645 alpha=90.00 beta=90.00 gamma=90.00
Last column: nearest neighbours and their distance in Å.
Fractional positions:
P 0.5000 0.0000 0.2669  1 Nb 2.27
P 0.0000 0.5000 0.7331  1 Nb 2.27
Bi 0.0000 0.0000 0.5000  4 Bi 3.06, 4 P 3.09
Bi 0.5000 0.5000 0.5000  4 Bi 3.06, 4 P 3.09
Nb 0.5000 0.0000 0.0267  4 O 2.18, 1 P 2.27
Nb 0.0000 0.5000 0.9733  4 O 2.18, 1 P 2.27
O 0.5000 0.5000 0.0000  4 Nb 2.18
O 0.0000 0.0000 0.0000  4 Nb 2.18

Calculated total energy: -6.656 eV per atom
Theoretical density: 6.5 g/cm³

# LuCuSiPd

A geometry-optimized LuCuSiPd structure (PBE-GGA, OQMD).

Unit cell a=4.4964 b=4.4964 c=4.4964 alpha=60.00 beta=60.00 gamma=60.00
Last column: nearest neighbours and their distance in Å.
Fractional positions:
Lu 0.5000 0.5000 0.5000  4 Cu 2.75, 4 Pd 2.75
Pd 0.2500 0.2500 0.2500  4 Lu 2.75, 4 Si 2.75
Cu 0.7500 0.7500 0.7500  4 Lu 2.75, 4 Si 2.75
Si 0.0000 0.0000 0.0000  4 Cu 2.75, 4 Pd 2.75

Calculated total energy: -5.249 eV per atom
Theoretical density: 9.6 g/cm³

# RbDyIn

A geometry-optimized RbDyIn structure (PBE-GGA, OQMD).

Unit cell a=5.6089 b=5.6089 c=5.6089 alpha=60.00 beta=60.00 gamma=60.00
Last column: nearest neighbours and their distance in Å.
Fractional positions:
Dy 0.2500 0.2500 0.2500  4 In 3.43
In 0.0000 0.0000 0.0000  4 Dy 3.43, 4 Rb 3.43
Rb 0.7500 0.7500 0.7500  4 In 3.43

Calculated total energy: -2.337 eV per atom
Theoretical density: 4.8 g/cm³

# RbHg2Sb2

A geometry-optimized RbHg2Sb2 structure (PBE-GGA, OQMD).

Unit cell a=6.9845 b=6.9845 c=6.9845 alpha=136.34 beta=136.34 gamma=63.45
Last column: nearest neighbours and their distance in Å.
Fractional positions:
Hg 0.7500 0.2500 0.5000  4 Sb 3.00
Hg 0.2500 0.7500 0.5000  4 Sb 3.00
Sb 0.6233 0.6233 0.0000  1 Sb 2.93, 4 Hg 3.00
Sb 0.3767 0.3767 0.0000  1 Sb 2.93, 4 Hg 3.00
Rb 0.0000 0.0000 0.0000  8 Hg 3.95, 8 Sb 3.95

Calculated total energy: -2.116 eV per atom
Theoretical density: 7.6 g/cm³

# GdGeB

A geometry-optimized GdGeB structure (PBE-GGA, OQMD).

Unit cell a=4.5153 b=4.5153 c=4.5153 alpha=60.00 beta=60.00 gamma=60.00
Last column: nearest neighbours and their distance in Å.
Fractional positions:
Gd 0.0000 0.0000 0.0000  4 B 2.77, 4 Ge 2.77
B 0.2500 0.2500 0.2500  4 Gd 2.77
Ge 0.7500 0.7500 0.7500  4 Gd 2.77

Calculated total energy: -4.648 eV per atom
Theoretical density: 6.1 g/cm³

# ErTeAsO

A geometry-optimized ErTeAsO structure (PBE-GGA, OQMD).

Unit cell a=3.6939 b=7.1353 c=8.0099 alpha=90.00 beta=90.00 gamma=90.00
Last column: nearest neighbours and their distance in Å.
Fractional positions:
Te 0.5000 0.6423 0.0357  2 As 2.73
Te 0.5000 0.3577 0.5357  2 As 2.73
O 0.5000 0.9007 0.4383  2 Er 2.07
O 0.5000 0.0993 0.9383  2 Er 2.07
As 0.0000 0.4389 0.2959  2 Te 2.73, 2 Er 2.87-2.95
As 0.0000 0.5611 0.7959  2 Te 2.73, 2 Er 2.87-2.95
Er 0.0000 0.7815 0.4841  2 O 2.07
Er 0.0000 0.2185 0.9841  2 O 2.07

Calculated total energy: -5.645 eV per atom
Theoretical density: 6.1 g/cm³

# LaPaFe

A geometry-optimized LaPaFe structure (PBE-GGA, OQMD).

Unit cell a=4.6660 b=4.6660 c=4.6660 alpha=60.00 beta=60.00 gamma=60.00
Last column: nearest neighbours and their distance in Å.
Fractional positions:
Fe 0.0000 0.0000 0.0000  4 Pa 2.86, 4 La 2.86
Pa 0.7500 0.7500 0.7500  4 Fe 2.86
La 0.2500 0.2500 0.2500  4 Fe 2.86

Energy of formation: 0.366 eV per atom
Theoretical density: 9.8 g/cm³

# DyErTe6

A geometry-optimized DyErTe6 structure (PBE-GGA, OQMD).

Unit cell a=4.3259 b=13.2776 c=13.2776 alpha=18.74 beta=90.00 gamma=90.00
Last column: nearest neighbours and their distance in Å.
Fractional positions:
Te 0.5000 0.0758 0.0758  4 Te 3.06, 2 Er 3.31
Te 0.5000 0.7926 0.7926  1 Er 3.18, 4 Dy 3.20
Te 0.5000 0.4246 0.4246  4 Te 3.06, 2 Dy 3.32
Te 0.0000 0.5758 0.5758  4 Te 3.06, 2 Er 3.31
Te 0.0000 0.2066 0.2066  4 Er 3.19, 1 Dy 3.20
Te 0.0000 0.9246 0.9246  4 Te 3.06, 2 Dy 3.31
Er 0.5000 0.6714 0.6714  9 Te 3.18-3.31
Dy 0.0000 0.3287 0.3287  9 Te 3.20-3.32

Calculated total energy: -4.402 eV per atom
Theoretical density: 7.4 g/cm³

# NdHoNO

A geometry-optimized NdHoNO structure (PBE-GGA, OQMD).

Unit cell a=4.0479 b=4.9692 c=7.0059 alpha=90.00 beta=90.00 gamma=90.00
Last column: nearest neighbours and their distance in Å.
Fractional positions:
Nd 0.5000 0.9385 0.1642  2 N 2.39, 3 O 2.49-2.51
Nd 0.5000 0.4385 0.8358  2 N 2.39, 3 O 2.49-2.51
Ho 0.0000 0.9382 0.6654  3 N 2.24-2.49, 2 O 2.25
Ho 0.0000 0.4382 0.3346  3 N 2.24-2.49, 2 O 2.25
O 0.5000 0.9381 0.8063  2 Ho 2.25, 3 Nd 2.49-2.51
O 0.5000 0.4381 0.1937  2 Ho 2.25, 3 Nd 2.49-2.51
N 0.0000 0.9392 0.3455  3 Ho 2.24-2.49, 2 Nd 2.39
N 0.0000 0.4392 0.6545  3 Ho 2.24-2.49, 2 Nd 2.39

Calculated total energy: -7.809 eV per atom
Theoretical density: 8.0 g/cm³

# GdHoAlIr2

A geometry-optimized GdHoAlIr2 structure (PBE-GGA, OQMD).

Unit cell a=5.5727 b=5.5727 c=5.5727 alpha=136.86 beta=116.92 gamma=79.49
Last column: nearest neighbours and their distance in Å.
Fractional positions:
Gd 0.6981 0.1981 0.5000  6 Ir 2.99-3.01, 2 Al 3.30
Ir 0.7413 0.5000 0.2413  2 Al 2.54, 1 Ir 2.81
Ir 0.2587 0.5000 0.7587  2 Al 2.54, 1 Ir 2.81
Ho 0.3019 0.8019 0.5000  6 Ir 2.99-3.01, 2 Al 3.30
Al 0.0000 0.0000 0.0000  4 Ir 2.54

Calculated total energy: -7.064 eV per atom
Theoretical density: 11.9 g/cm³

# LaNd2GaBr3

A geometry-optimized LaNd2GaBr3 structure (PBE-GGA, OQMD).

Unit cell a=6.0415 b=6.0415 c=6.0593 alpha=90.00 beta=90.00 gamma=90.00
Last column: nearest neighbours and their distance in Å.
Fractional positions:
Ga 0.5000 0.5000 0.5000  4 Nd 3.02, 2 La 3.03
La 0.5000 0.5000 0.0000  4 Br 3.02, 2 Ga 3.03
Br 0.0000 0.0000 0.5000  4 Nd 3.02
Br 0.5000 0.0000 0.0000  2 La 3.02, 2 Nd 3.03
Br 0.0000 0.5000 0.0000  2 La 3.02, 2 Nd 3.03
Nd 0.5000 0.0000 0.5000  4 Br 3.02-3.03, 2 Ga 3.02
Nd 0.0000 0.5000 0.5000  4 Br 3.02-3.03, 2 Ga 3.02

Calculated total energy: -4.560 eV per atom
Theoretical density: 5.5 g/cm³

# YTlCoTe3

A geometry-optimized YTlCoTe3 structure (PBE-GGA, OQMD).

Unit cell a=4.3364 b=12.4444 c=13.0139 alpha=90.00 beta=90.00 gamma=90.00
Last column: nearest neighbours and their distance in Å.
Fractional positions:
Tl 0.7500 0.1860 0.9947  2 Co 3.34, 7 Te 3.41-3.58
Tl 0.7500 0.6860 0.5053  2 Co 3.34, 7 Te 3.41-3.58
Tl 0.2500 0.3140 0.4947  2 Co 3.34, 7 Te 3.41-3.58
Tl 0.2500 0.8140 0.0053  2 Co 3.34, 7 Te 3.41-3.58
Te 0.7500 0.1036 0.4390  1 Co 2.59
Te 0.7500 0.4614 0.3494  1 Co 2.57
Te 0.7500 0.2767 0.7107  2 Co 2.54
Te 0.2500 0.0386 0.8494  1 Co 2.57
Te 0.2500 0.3964 0.9390  1 Co 2.59
Te 0.2500 0.7233 0.2893  2 Co 2.54
Te 0.2500 0.2233 0.2107  2 Co 2.54
Te 0.7500 0.6036 0.0610  1 Co 2.59
Te 0.7500 0.9614 0.1506  1 Co 2.57
Te 0.2500 0.5386 0.6506  1 Co 2.57
Te 0.7500 0.7767 0.7893  2 Co 2.54
Te 0.2500 0.8964 0.5610  1 Co 2.59
Y 0.2500 0.4759 0.1829  7 Te 3.07-3.38
Y 0.7500 0.0241 0.6829  7 Te 3.07-3.38
Y 0.2500 0.9759 0.3171  7 Te 3.07-3.38
Y 0.7500 0.5241 0.8171  7 Te 3.07-3.38
Co 0.7500 0.2596 0.3068  4 Te 2.54-2.59
Co 0.7500 0.7596 0.1932  4 Te 2.54-2.59
Co 0.2500 0.2404 0.8068  4 Te 2.54-2.59
Co 0.2500 0.7404 0.6932  4 Te 2.54-2.59

Calculated total energy: -4.789 eV per atom
Theoretical density: 7.0 g/cm³

# TmAgTe2PbS

A geometry-optimized TmAgTe2PbS structure (PBE-GGA, OQMD).

Unit cell a=7.6206 b=7.6206 c=10.3547 alpha=90.00 beta=90.00 gamma=146.91
Last column: nearest neighbours and their distance in Å.
Fractional positions:
Te 0.8529 0.1471 0.0518  1 Ag 2.79, 2 Tm 3.10
Te 0.1471 0.8529 0.5518  1 Ag 2.79, 2 Tm 3.10
Te 0.8529 0.1471 0.4482  1 Ag 2.79, 2 Tm 3.10
Te 0.1471 0.8529 0.9482  1 Ag 2.79, 2 Tm 3.10
Pb 0.2307 0.7693 0.2500  2 S 3.14, 6 Te 3.35-3.48
Pb 0.7693 0.2307 0.7500  2 S 3.14, 6 Te 3.35-3.48
Tm 0.5000 0.5000 0.0000  2 S 2.81, 4 Te 3.10
Tm 0.5000 0.5000 0.5000  2 S 2.81, 4 Te 3.10
Ag 0.0177 0.9823 0.7500  2 S 2.56, 2 Te 2.79
Ag 0.9823 0.0177 0.2500  2 S 2.56, 2 Te 2.79
S 0.5756 0.4244 0.2500  2 Ag 2.56, 2 Tm 2.81
S 0.4244 0.5756 0.7500  2 Ag 2.56, 2 Tm 2.81

Calculated total energy: -4.363 eV per atom
Theoretical density: 7.8 g/cm³

# Y5Tm3Te

A geometry-optimized Y5Tm3Te structure (PBE-GGA, OQMD).

Unit cell a=9.1770 b=9.1770 c=3.7886 alpha=90.00 beta=90.00 gamma=120.00
Last column: nearest neighbours and their distance in Å.
Fractional positions:
Tm 0.0000 0.2736 0.5000  2 Te 3.15, 2 Y 3.37
Tm 0.7264 0.7264 0.5000  2 Te 3.15, 2 Y 3.37
Tm 0.2736 0.0000 0.5000  2 Te 3.15, 2 Y 3.37
Y 0.3834 0.3834 0.0000  6 Y 3.43-3.79, 1 Te 3.52, 6 Tm 3.67
Y 0.6667 0.3333 0.5000  3 Tm 3.37, 6 Y 3.43
Y 0.3333 0.6667 0.5000  3 Tm 3.37, 6 Y 3.43
Y 0.0000 0.6166 0.0000  6 Y 3.43-3.79, 1 Te 3.52, 6 Tm 3.67
Y 0.6166 0.0000 0.0000  6 Y 3.43-3.79, 1 Te 3.52, 6 Tm 3.67
Te 0.0000 0.0000 0.0000  6 Tm 3.15, 3 Y 3.52

Calculated total energy: -5.714 eV per atom
Theoretical density: 6.5 g/cm³

# AcPt2

A geometry-optimized AcPt2 structure (PBE-GGA, OQMD).

Unit cell a=4.5399 b=4.5399 c=4.1373 alpha=90.00 beta=90.00 gamma=120.00
Last column: nearest neighbours and their distance in Å.
Fractional positions:
Pt 0.3333 0.6667 0.0000  3 Pt 2.62
Pt 0.6667 0.3333 0.0000  3 Pt 2.62
Ac 0.0000 0.0000 0.5000  12 Pt 3.34

Energy of formation: -1.015 eV per atom
Theoretical density: 13.9 g/cm³

# Rb2AgI3

A geometry-optimized Rb2AgI3 structure (PBE-GGA, OQMD).

Unit cell a=10.3590 b=4.9405 c=20.1874 alpha=90.00 beta=90.00 gamma=90.00
Last column: nearest neighbours and their distance in Å.
Fractional positions:
Rb 0.7481 0.7500 0.5426  7 I 3.64-3.88
Rb 0.0770 0.2500 0.7108  7 I 3.70-3.89
Rb 0.4230 0.7500 0.2108  7 I 3.70-3.89
Rb 0.5770 0.2500 0.7892  7 I 3.70-3.89
Rb 0.2481 0.7500 0.9574  7 I 3.64-3.88
Rb 0.2519 0.2500 0.4574  7 I 3.64-3.88
Rb 0.7519 0.2500 0.0426  7 I 3.64-3.88
Rb 0.9230 0.7500 0.2892  7 I 3.70-3.89
I 0.9974 0.2500 0.8990  2 Ag 2.91
I 0.5026 0.7500 0.3990  2 Ag 2.91
I 0.3113 0.7500 0.7755  1 Ag 2.88
I 0.6188 0.7500 0.9295  1 Ag 2.87
I 0.8812 0.2500 0.4295  1 Ag 2.87
I 0.1887 0.2500 0.2755  1 Ag 2.88
I 0.3812 0.2500 0.0705  1 Ag 2.87
I 0.1188 0.7500 0.5705  1 Ag 2.87
I 0.8113 0.7500 0.7245  1 Ag 2.88
I 0.0026 0.7500 0.1010  2 Ag 2.91
I 0.4974 0.2500 0.6010  2 Ag 2.91
I 0.6887 0.2500 0.2245  1 Ag 2.88
Ag 0.6353 0.2500 0.3644  4 I 2.87-2.91
Ag 0.3647 0.7500 0.6356  4 I 2.87-2.91
Ag 0.1353 0.2500 0.1356  4 I 2.87-2.91
Ag 0.8647 0.7500 0.8644  4 I 2.87-2.91

Calculated total energy: -2.661 eV per atom
Theoretical density: 4.2 g/cm³